The following is a DFT calculation (PBE) of an optimized crystal structure of CuF.

```
4
Lattice="3.3655 0.0000 0.0000 0.0000 2.6697 0.0000 -1.5611 0.0000 4.7557" Properties=species:S:1:pos:R:3 pbc="T T T"
Cu 0.0650 0.6674 1.0533
Cu 1.7394 2.0023 3.7024
F 0.0662 0.6674 3.3527
F 1.7381 2.0023 1.4030
```

* total energy: -3.67 eV per atom